Density functional theory data (PBE) for a relaxed PmZnTe3 crystal.

Values from the calculation:
As for the calculated total energy: -3.842 eV/atom. The raw formation energy is -0.75 eV/atom. The density of states at the Fermi level comes out at 5.7 states/eV/cell.

a b c (Å): 4.2216 7.9513 9.7463
angles (deg): 90.00 90.00 105.40
With the nearest neighbours (Å) after each atom.
Fractional coordinates of all 10 atoms:
1 Pm 0.2374 0.9754 0.2500  8 Te 3.21-3.33
2 Pm 0.7626 0.0246 0.7500  8 Te 3.21-3.33
3 Zn 0.9725 0.4459 0.2500  4 Te 2.66-2.67
4 Zn 0.0275 0.5541 0.7500  4 Te 2.66-2.67
5 Te 0.8447 0.1896 0.0660  1 Zn 2.66
6 Te 0.1553 0.8104 0.9340  1 Zn 2.66
7 Te 0.8447 0.1896 0.4340  1 Zn 2.66
8 Te 0.1553 0.8104 0.5660  1 Zn 2.66
9 Te 0.5793 0.6594 0.2500  2 Zn 2.67
10 Te 0.4207 0.3406 0.7500  2 Zn 2.67

Density functional theory data (PBE) for a relaxed Ce7TlSi5 crystal.

Values from the calculation:
As for the calculated total energy: -5.851 eV/atom. The raw formation energy is -0.39 eV/atom. The density of states at the Fermi level comes out at 29.5 states/eV/cell.

a b c (Å): 5.9373 7.8863 7.8863
angles (deg): 84.21 67.89 67.89
With the nearest neighbours (Å) after each atom.
Fractional coordinates of all 13 atoms:
1 Ce 0.6711 0.3289 0.3289  4 Si 3.18, 1 Tl 3.21, 2 Ce 3.28
2 Ce 0.2994 0.7006 0.7006  6 Si 3.00-3.04, 1 Tl 3.12
3 Ce 0.9765 0.3412 0.7058  5 Si 2.92-3.03
4 Ce 0.9765 0.7058 0.3412  5 Si 2.92-3.03
5 Ce 0.3089 0.1911 0.1911  2 Ce 2.80, 4 Si 2.94
6 Ce 0.5243 0.8079 0.1434  1 Ce 2.80, 3 Si 2.95-2.96
7 Ce 0.5243 0.1434 0.8079  1 Ce 2.80, 3 Si 2.95-2.96
8 Tl 0.9898 0.0102 0.0102  10 Ce 3.12-3.48
9 Si 0.4523 0.0136 0.5013  1 Si 2.49
10 Si 0.0328 0.0136 0.5013  1 Si 2.49
11 Si 0.4523 0.5013 0.0136  1 Si 2.49
12 Si 0.0328 0.5013 0.0136  1 Si 2.49
13 Si 0.7588 0.7412 0.7412  6 Ce 2.92-3.00, 4 Si 3.22

Density functional theory data (PBE) for a relaxed Ac8GaSn3 crystal.

Values from the calculation:
As for the calculated total energy: -4.331 eV/atom. The density of states at the Fermi level comes out at 17.5 states/eV/cell. As for the formation energy: -32.7 kJ per mole of atoms.

a b c (Å): 7.8861 7.8861 9.6709
angles (deg): 114.06 114.06 90.00
With the nearest neighbours (Å) after each atom.
Fractional coordinates of all 12 atoms:
1 Ac 0.3674 0.3674 0.2439  1 Ga 3.35, 3 Sn 3.43-3.45
2 Ac 0.3674 0.8764 0.2439  1 Ga 3.35, 3 Sn 3.43-3.45
3 Ac 0.1236 0.6326 0.7561  1 Ga 3.35, 3 Sn 3.43-3.45
4 Ac 0.1236 0.1236 0.7561  1 Ga 3.35, 3 Sn 3.43-3.45
5 Ac 0.8764 0.8764 0.2439  1 Ga 3.35, 3 Sn 3.43-3.45
6 Ac 0.8764 0.3674 0.2439  1 Ga 3.35, 3 Sn 3.43-3.45
7 Ac 0.6326 0.1236 0.7561  1 Ga 3.35, 3 Sn 3.43-3.45
8 Ac 0.6326 0.6326 0.7561  1 Ga 3.35, 3 Sn 3.43-3.45
9 Ga 0.0000 0.0000 0.0000  8 Ac 3.35
10 Sn 0.7500 0.2500 0.5000  8 Ac 3.45
11 Sn 0.5000 0.5000 0.0000  8 Ac 3.43
12 Sn 0.2500 0.7500 0.5000  8 Ac 3.45

Density functional theory data (PBE) for a relaxed PrHo6Tm2Sc crystal.

Values from the calculation:
As for the calculated total energy: -4.625 eV/atom. The density of states at the Fermi level comes out at 27.3 states/eV/cell. As for the formation energy: 12.2 kJ per mole of atoms.

a b c (Å): 8.6894 9.0084 9.0084
angles (deg): 118.10 90.69 90.69
With the nearest neighbours (Å) after each atom.
Fractional coordinates of all 20 atoms:
1 Pr 0.2500 0.9667 0.0333  4 Tm 3.32-3.63, 6 Ho 3.44-3.63
2 Pr 0.7500 0.0333 0.9667  4 Tm 3.32-3.63, 6 Ho 3.44-3.63
3 Ho 0.0536 0.1353 0.7884  1 Tm 3.35, 7 Ho 3.39-3.59, 2 Pr 3.44-3.63
4 Ho 0.4464 0.2116 0.8647  1 Tm 3.35, 7 Ho 3.39-3.59, 2 Pr 3.44-3.63
5 Ho 0.9464 0.8647 0.2116  1 Tm 3.35, 7 Ho 3.39-3.59, 2 Pr 3.44-3.63
6 Ho 0.5536 0.7884 0.1353  1 Tm 3.35, 7 Ho 3.39-3.59, 2 Pr 3.44-3.63
7 Ho 0.2931 0.0393 0.4567  1 Tm 3.29, 1 Sc 3.30, 5 Ho 3.33-3.59, 1 Pr 3.57
8 Ho 0.2069 0.5433 0.9607  1 Tm 3.29, 1 Sc 3.30, 5 Ho 3.33-3.59, 1 Pr 3.57
9 Ho 0.7069 0.9607 0.5433  1 Tm 3.29, 1 Sc 3.30, 5 Ho 3.33-3.59, 1 Pr 3.57
10 Ho 0.7931 0.4567 0.0393  1 Tm 3.29, 1 Sc 3.30, 5 Ho 3.33-3.59, 1 Pr 3.57
11 Ho 0.0928 0.7332 0.4790  2 Sc 3.28-3.36, 3 Tm 3.32-3.39, 4 Ho 3.33-3.40
12 Ho 0.4072 0.5210 0.2668  2 Sc 3.28-3.36, 3 Tm 3.32-3.39, 4 Ho 3.33-3.40
13 Ho 0.9072 0.2668 0.5210  2 Sc 3.28-3.36, 3 Tm 3.32-3.39, 4 Ho 3.33-3.40
14 Ho 0.5928 0.4790 0.7332  2 Sc 3.28-3.36, 3 Tm 3.32-3.39, 4 Ho 3.33-3.40
15 Tm 0.4405 0.7896 0.6751  2 Sc 3.24-3.48, 5 Ho 3.29-3.39, 1 Pr 3.32
16 Tm 0.0595 0.3249 0.2104  2 Sc 3.24-3.48, 5 Ho 3.29-3.39, 1 Pr 3.32
17 Tm 0.5595 0.2104 0.3249  2 Sc 3.24-3.48, 5 Ho 3.29-3.39, 1 Pr 3.32
18 Tm 0.9405 0.6751 0.7896  2 Sc 3.24-3.48, 5 Ho 3.29-3.39, 1 Pr 3.32
19 Sc 0.2500 0.4397 0.5603  4 Tm 3.24-3.48, 6 Ho 3.28-3.36
20 Sc 0.7500 0.5603 0.4397  4 Tm 3.24-3.48, 6 Ho 3.28-3.36

Density functional theory data (PBE) for a relaxed Nd2SmDySe5 crystal.

Values from the calculation:
As for the calculated total energy: -5.302 eV/atom. The raw formation energy is -1.27 eV/atom. The density of states at the Fermi level comes out at 5.8 states/eV/cell.

a b c (Å): 5.1467 5.1467 10.9142
angles (deg): 90.00 90.00 90.00
With the nearest neighbours (Å) after each atom.
Fractional coordinates of all 9 atoms:
1 Nd 0.5000 0.5000 0.3282  4 Se 3.18
2 Nd 0.5000 0.5000 0.6718  4 Se 3.18
3 Sm 0.0000 0.0000 0.0000  2 Se 2.71
4 Dy 0.0000 0.0000 0.5000  6 Se 2.57-2.74
5 Se 0.0000 0.5000 0.5000  2 Dy 2.57
6 Se 0.5000 0.0000 0.5000  2 Dy 2.57
7 Se 0.0000 0.0000 0.7514  1 Sm 2.71, 1 Dy 2.74
8 Se 0.0000 0.0000 0.2486  1 Sm 2.71, 1 Dy 2.74
9 Se 0.5000 0.5000 0.0000  2 Nd 3.58, 4 Sm 3.64

Density functional theory data (PBE) for a relaxed Na5Cd3Sn3 crystal.

Values from the calculation:
As for the calculated total energy: -1.927 eV/atom. The density of states at the Fermi level comes out at 4.1 states/eV/cell. As for the formation energy: 1.3 kJ per mole of atoms.

a b c (Å): 5.1412 9.7977 9.7977
angles (deg): 120.00 90.00 90.00
With the nearest neighbours (Å) after each atom.
Fractional coordinates of all 11 atoms:
1 Na 0.5000 0.3333 0.6667  3 Sn 3.10
2 Na 0.5000 0.6667 0.3333  3 Sn 3.10
3 Na 0.5000 0.2714 0.2714  3 Sn 3.26-3.50, 2 Na 3.61
4 Na 0.5000 0.0000 0.7286  3 Sn 3.26-3.50, 2 Na 3.61
5 Na 0.5000 0.7286 0.0000  3 Sn 3.26-3.50, 2 Na 3.61
6 Cd 0.0000 0.7332 0.7332  2 Sn 2.77
7 Cd 0.0000 0.2668 0.0000  2 Sn 2.77
8 Cd 0.0000 0.0000 0.2668  2 Sn 2.77
9 Sn 0.5000 0.6287 0.6287  2 Cd 2.77, 2 Na 3.10
10 Sn 0.5000 0.0000 0.3713  2 Cd 2.77, 2 Na 3.10
11 Sn 0.5000 0.3713 0.0000  2 Cd 2.77, 2 Na 3.10

Density functional theory data (PBE) for a relaxed Al2RhSe crystal.

Values from the calculation:
As for the calculated total energy: -4.766 eV/atom. The raw formation energy is -0.19 eV/atom. The density of states at the Fermi level comes out at 1.8 states/eV/cell.

a b c (Å): 2.9484 2.9484 7.6022
angles (deg): 90.00 90.00 90.00
With the nearest neighbours (Å) after each atom.
Fractional coordinates of all 4 atoms:
1 Rh 0.0000 0.0000 0.4785  4 Al 2.58, 4 Se 2.77
2 Al 0.0000 0.0000 0.0247  8 Al 2.84-2.95, 4 Se 3.13
3 Al 0.5000 0.5000 0.2792  4 Rh 2.58, 4 Al 2.84
4 Se 0.5000 0.5000 0.7175  4 Rh 2.77, 4 Se 2.95

Density functional theory data (PBE) for a relaxed Pa9C2N14 crystal.

Values from the calculation:
As for the calculated total energy: -10.099 eV/atom. The raw formation energy is -1.28 eV/atom. The density of states at the Fermi level comes out at 18.3 states/eV/cell.

a b c (Å): 6.6945 6.6945 9.3856
angles (deg): 90.00 90.00 120.00
With the nearest neighbours (Å) after each atom.
Fractional coordinates of all 25 atoms:
1 Pa 0.3091 0.9821 0.3394  6 N 2.24-2.39, 1 C 2.32
2 Pa 0.0179 0.3271 0.3394  6 N 2.24-2.39, 1 C 2.32
3 Pa 0.3333 0.6667 0.0097  6 N 2.33-2.43, 1 C 2.35
4 Pa 0.0000 0.0000 0.0000  8 N 2.40-2.44
5 Pa 0.3271 0.3091 0.6606  6 N 2.24-2.39, 1 C 2.32
6 Pa 0.6729 0.6909 0.3394  6 N 2.24-2.39, 1 C 2.32
7 Pa 0.6667 0.3333 0.9903  6 N 2.33-2.43, 1 C 2.35
8 Pa 0.9821 0.6729 0.6606  6 N 2.24-2.39, 1 C 2.32
9 Pa 0.6909 0.0179 0.6606  6 N 2.24-2.39, 1 C 2.32
10 C 0.3333 0.6667 0.2597  4 Pa 2.32-2.35
11 C 0.6667 0.3333 0.7403  4 Pa 2.32-2.35
12 N 0.0184 0.6688 0.9066  4 Pa 2.32-2.44
13 N 0.3261 0.9648 0.5936  4 Pa 2.24-2.39
14 N 0.0352 0.3613 0.5936  4 Pa 2.24-2.39
15 N 0.0000 0.0000 0.2559  4 Pa 2.27-2.40
16 N 0.0000 0.0000 0.7441  4 Pa 2.27-2.40
17 N 0.3312 0.3496 0.9066  4 Pa 2.32-2.44
18 N 0.6504 0.9816 0.9066  4 Pa 2.32-2.44
19 N 0.3613 0.3261 0.4064  4 Pa 2.24-2.39
20 N 0.6387 0.6739 0.5936  4 Pa 2.24-2.39
21 N 0.3496 0.0184 0.0934  4 Pa 2.32-2.44
22 N 0.6688 0.6504 0.0934  4 Pa 2.32-2.44
23 N 0.9648 0.6387 0.4064  4 Pa 2.24-2.39
24 N 0.6739 0.0352 0.4064  4 Pa 2.24-2.39
25 N 0.9816 0.3312 0.0934  4 Pa 2.32-2.44